a | This record from OQMD via LeMat-Bulk describes Y2Tm2Lu3Ni2Te2 after structural relaxation. The functional is PBE.

Cell lengths 9.241, 9.241, 9.241 Å; angles 156.21, 67.51, 117.88 degrees
Fractional coordinates of all 11 atoms:
Y  0.132  0.000  0.132
Y  0.868  0.000  0.868
Tm  0.516  0.201  0.314
Tm  0.887  0.201  0.686
Lu  0.208  0.854  0.354
Lu  0.501  0.854  0.646
Lu  0.579  0.579  0.000
Ni  0.275  0.509  0.766
Ni  0.743  0.509  0.234
Te  0.248  0.248  0.000
Te  0.842  0.342  0.500

Values from the calculation:
space-group type	Imm2 (44)
volume	25.378	Å³ per atom



b | This record from OQMD via LeMat-Bulk describes Y2Tm2Lu3Ni2Te2 after structural relaxation. The functional is PBE.

Cell lengths 9.246, 9.246, 9.246 Å; angles 156.16, 67.39, 118.02 degrees
Fractional coordinates of all 11 atoms:
Y  0.132  0.000  0.132
Y  0.868  0.000  0.868
Tm  0.207  0.854  0.353
Tm  0.501  0.854  0.647
Lu  0.516  0.201  0.315
Lu  0.581  0.581  0.000
Lu  0.886  0.201  0.685
Ni  0.276  0.511  0.765
Ni  0.746  0.511  0.235
Te  0.249  0.249  0.000
Te  0.842  0.342  0.500

Values from the calculation:
space-group type	Imm2 (44)
volume	25.431	Å³ per atom



c | This record from OQMD via LeMat-Bulk describes Y2Tm2Lu3Ni2Te2 after structural relaxation. The functional is PBE.

Cell lengths 9.244, 9.244, 9.244 Å; angles 156.25, 67.32, 118.05 degrees
Fractional coordinates of all 11 atoms:
Y  0.185  0.000  0.185
Y  0.815  0.000  0.815
Tm  0.164  0.797  0.367
Tm  0.430  0.797  0.633
Lu  0.504  0.650  0.854
Lu  0.797  0.650  0.146
Lu  0.876  0.376  0.500
Ni  0.040  0.302  0.738
Ni  0.564  0.302  0.262
Te  0.144  0.144  0.000
Te  0.542  0.042  0.500

Values from the calculation:
space-group type	Imm2 (44)
volume	25.321	Å³ per atom



Stability summary: most stable b, least stable c.



a | This record from OQMD via LeMat-Bulk describes YTm4Lu2Ni2Te2 after structural relaxation. The functional is PBE.

Cell lengths 9.211, 9.211, 9.211 Å; angles 156.07, 67.04, 118.43 degrees
Fractional coordinates of all 11 atoms:
Y  0.000  0.000  0.000
Tm  0.307  0.622  0.686
Tm  0.621  0.270  0.352
Tm  0.918  0.270  0.648
Tm  0.936  0.622  0.314
Lu  0.284  0.418  0.866
Lu  0.552  0.418  0.134
Ni  0.167  0.928  0.239
Ni  0.689  0.928  0.761
Te  0.268  0.768  0.500
Te  0.662  0.662  0.000

Values from the calculation:
space-group type	Imm2 (44)
volume	25.142	Å³ per atom



b | This record from OQMD via LeMat-Bulk describes YTm4Lu2Ni2Te2 after structural relaxation. The functional is PBE.

Cell lengths 9.226, 9.226, 9.226 Å; angles 156.14, 67.06, 118.38 degrees
Fractional coordinates of all 11 atoms:
Y  0.000  0.000  0.000
Tm  0.285  0.418  0.867
Tm  0.551  0.418  0.133
Tm  0.621  0.269  0.352
Tm  0.917  0.269  0.648
Lu  0.305  0.620  0.685
Lu  0.935  0.620  0.315
Ni  0.167  0.928  0.238
Ni  0.690  0.928  0.762
Te  0.265  0.765  0.500
Te  0.664  0.664  0.000

Values from the calculation:
space-group type	Imm2 (44)
volume	25.201	Å³ per atom



Stability summary: most stable b, least stable a.



a | This record from OQMD via LeMat-Bulk describes Y2TmLu4Ni2Te2 after structural relaxation. The functional is PBE.

Cell lengths 9.224, 9.224, 9.224 Å; angles 156.05, 66.94, 118.54 degrees
Fractional coordinates of all 11 atoms:
Y  0.147  0.000  0.147
Y  0.853  0.000  0.853
Tm  0.233  0.733  0.500
Lu  0.169  0.353  0.815
Lu  0.514  0.149  0.366
Lu  0.538  0.353  0.185
Lu  0.783  0.149  0.634
Ni  0.405  0.664  0.740
Ni  0.924  0.664  0.260
Te  0.498  0.498  0.000
Te  0.892  0.392  0.500

Values from the calculation:
space-group type	Imm2 (44)
volume	25.238	Å³ per atom



b | This record from OQMD via LeMat-Bulk describes Y2TmLu4Ni2Te2 after structural relaxation. The functional is PBE.

Cell lengths 9.213, 9.213, 9.213 Å; angles 156.18, 67.27, 118.14 degrees
Fractional coordinates of all 11 atoms:
Y  0.185  0.000  0.185
Y  0.815  0.000  0.815
Tm  0.876  0.376  0.500
Lu  0.163  0.796  0.367
Lu  0.430  0.796  0.633
Lu  0.502  0.649  0.853
Lu  0.796  0.649  0.147
Ni  0.042  0.302  0.739
Ni  0.563  0.302  0.261
Te  0.145  0.145  0.000
Te  0.540  0.040  0.500

Values from the calculation:
space-group type	Imm2 (44)
volume	25.119	Å³ per atom



Stability summary: most stable a, least stable b.



a | This record from OQMD via LeMat-Bulk describes Y4TmLu2Ni2Te2 after structural relaxation. The functional is PBE.

Cell lengths 9.313, 9.313, 9.313 Å; angles 156.28, 67.55, 117.80 degrees
Fractional coordinates of all 11 atoms:
Y  0.131  0.000  0.131
Y  0.516  0.202  0.314
Y  0.869  0.000  0.869
Y  0.888  0.202  0.686
Tm  0.579  0.579  0.000
Lu  0.211  0.856  0.355
Lu  0.500  0.856  0.645
Ni  0.269  0.503  0.766
Ni  0.738  0.503  0.234
Te  0.247  0.247  0.000
Te  0.842  0.342  0.500

Values from the calculation:
space-group type	Imm2 (44)
volume	25.922	Å³ per atom



b | This record from OQMD via LeMat-Bulk describes Y4TmLu2Ni2Te2 after structural relaxation. The functional is PBE.

Cell lengths 9.275, 9.275, 9.275 Å; angles 156.11, 67.58, 117.84 degrees
Fractional coordinates of all 11 atoms:
Y  0.132  0.000  0.132
Y  0.206  0.853  0.354
Y  0.499  0.853  0.646
Y  0.868  0.000  0.868
Tm  0.582  0.582  0.000
Lu  0.517  0.202  0.315
Lu  0.887  0.202  0.685
Ni  0.282  0.518  0.764
Ni  0.754  0.518  0.236
Te  0.247  0.247  0.000
Te  0.843  0.343  0.500

Values from the calculation:
space-group type	Imm2 (44)
volume	25.771	Å³ per atom



Stability summary: most stable b, least stable a.



a | This record from OQMD via LeMat-Bulk describes Y3Lu4Ni2Te2 after structural relaxation. The functional is PBE.

Cell lengths 9.245, 9.245, 9.245 Å; angles 156.11, 67.29, 118.15 degrees
Fractional coordinates of all 11 atoms:
Y  0.000  0.000  0.000
Y  0.308  0.623  0.685
Y  0.937  0.623  0.315
Lu  0.286  0.420  0.867
Lu  0.553  0.420  0.133
Lu  0.624  0.271  0.352
Lu  0.919  0.271  0.648
Ni  0.166  0.926  0.239
Ni  0.687  0.926  0.761
Te  0.269  0.769  0.500
Te  0.663  0.663  0.000

Values from the calculation:
space-group type	Imm2 (44)
volume	25.440	Å³ per atom



b | This record from OQMD via LeMat-Bulk describes Y3Lu4Ni2Te2 after structural relaxation. The functional is PBE.

Cell lengths 9.263, 9.263, 9.263 Å; angles 156.08, 67.39, 118.05 degrees
Fractional coordinates of all 11 atoms:
Y  0.000  0.000  0.000
Y  0.287  0.419  0.868
Y  0.551  0.419  0.132
Lu  0.308  0.621  0.686
Lu  0.624  0.273  0.352
Lu  0.921  0.273  0.648
Lu  0.935  0.621  0.314
Ni  0.164  0.930  0.234
Ni  0.696  0.930  0.766
Te  0.263  0.763  0.500
Te  0.668  0.668  0.000

Values from the calculation:
space-group type	Imm2 (44)
volume	25.649	Å³ per atom



Stability summary: most stable b, least stable a.



a | This record from OQMD via LeMat-Bulk describes LuPaPO after structural relaxation. The functional is PBE.

Cell lengths 5.114, 5.689, 5.639 Å; angles 90.00, 90.00, 90.00 degrees
Fractional coordinates of all 8 atoms:
Lu  0.000  0.193  0.000
Lu  0.000  0.807  0.500
Pa  0.500  0.243  0.431
Pa  0.500  0.757  0.931
P  0.500  0.259  0.931
P  0.500  0.741  0.431
O  0.000  0.167  0.385
O  0.000  0.833  0.885

Values from the calculation:
space-group type	Pmc2_1 (26)
volume	20.508	Å³ per atom



b | This record from OQMD via LeMat-Bulk describes LuPaPO after structural relaxation. The functional is PBE.

Cell lengths 5.377, 4.073, 7.799 Å; angles 90.00, 90.00, 90.00 degrees
Fractional coordinates of all 8 atoms:
Lu  0.250  0.000  0.213
Lu  0.750  0.000  0.787
Pa  0.250  0.500  0.628
Pa  0.750  0.500  0.372
P  0.250  0.000  0.865
P  0.750  0.000  0.135
O  0.250  0.500  0.324
O  0.750  0.500  0.676

Values from the calculation:
space-group type	Pmma (51)
volume	21.349	Å³ per atom



Stability summary: most stable a, least stable b.



a | This record from OQMD via LeMat-Bulk describes LuPaPO after structural relaxation. The functional is PBE.

Cell lengths 4.170, 4.170, 8.826 Å; angles 90.00, 90.00, 90.00 degrees
Fractional coordinates of all 8 atoms:
Lu  0.250  0.250  0.097
Lu  0.750  0.750  0.903
Pa  0.250  0.750  0.500
Pa  0.750  0.250  0.500
P  0.250  0.250  0.722
P  0.750  0.750  0.278
O  0.250  0.750  0.000
O  0.750  0.250  0.000

Values from the calculation:
space-group type	P4/nmm (129)
volume	19.187	Å³ per atom



b | This record from OQMD via LeMat-Bulk describes LuPaPO after structural relaxation. The functional is PBE.

Cell lengths 4.122, 4.122, 8.878 Å; angles 90.00, 90.00, 90.00 degrees
Fractional coordinates of all 8 atoms:
Lu  0.250  0.750  0.000
Lu  0.750  0.250  0.000
Pa  0.250  0.250  0.358
Pa  0.750  0.750  0.642
P  0.250  0.250  0.790
P  0.750  0.750  0.210
O  0.250  0.750  0.500
O  0.750  0.250  0.500

Values from the calculation:
space-group type	P4/nmm (129)
volume	18.855	Å³ per atom



Stability summary: most stable b, least stable a.



a | This record from OQMD via LeMat-Bulk describes LuPPdO after structural relaxation. The functional is PBE.

Cell lengths 3.992, 3.992, 7.658 Å; angles 90.00, 90.00, 90.00 degrees
Fractional coordinates of all 8 atoms:
Lu  0.250  0.250  0.129
Lu  0.750  0.750  0.871
P  0.250  0.250  0.673
P  0.750  0.750  0.327
Pd  0.250  0.750  0.500
Pd  0.750  0.250  0.500
O  0.250  0.750  0.000
O  0.750  0.250  0.000

Values from the calculation:
space-group type	P4/nmm (129)
volume	15.257	Å³ per atom



b | This record from OQMD via LeMat-Bulk describes LuPPdO after structural relaxation. The functional is PBE.

Cell lengths 3.846, 6.213, 5.658 Å; angles 90.00, 90.00, 90.00 degrees
Fractional coordinates of all 8 atoms:
Lu  0.000  0.236  0.000
Lu  0.000  0.764  0.500
P  0.500  0.465  0.722
P  0.500  0.535  0.222
Pd  0.500  0.206  0.433
Pd  0.500  0.794  0.933
O  0.000  0.042  0.300
O  0.000  0.958  0.800

Values from the calculation:
space-group type	Pmc2_1 (26)
volume	16.899	Å³ per atom



Stability summary: most stable a, least stable b.



a | This record from OQMD via LeMat-Bulk describes LuPPdO after structural relaxation. The functional is PBE.

Cell lengths 3.469, 7.532, 5.401 Å; angles 90.00, 90.00, 90.00 degrees
Fractional coordinates of all 8 atoms:
Lu  0.000  0.226  0.000
Lu  0.000  0.774  0.500
P  0.000  0.412  0.500
P  0.000  0.588  0.000
Pd  0.500  0.215  0.504
Pd  0.500  0.785  0.004
O  0.500  0.085  0.033
O  0.500  0.915  0.533

Values from the calculation:
space-group type	Pmc2_1 (26)
volume	17.639	Å³ per atom



b | This record from OQMD via LeMat-Bulk describes LuPPdO after structural relaxation. The functional is PBE.

Cell lengths 5.237, 5.237, 4.565 Å; angles 90.00, 90.00, 90.00 degrees
Fractional coordinates of all 8 atoms:
Lu  0.250  0.750  0.000
Lu  0.750  0.250  0.000
P  0.250  0.250  0.001
P  0.750  0.750  0.999
Pd  0.250  0.250  0.501
Pd  0.750  0.750  0.499
O  0.250  0.750  0.500
O  0.750  0.250  0.500

Values from the calculation:
space-group type	P4/nmm (129)
volume	15.649	Å³ per atom



Stability summary: most stable a, least stable b.



a | This record from OQMD via LeMat-Bulk describes LuScPO after structural relaxation. The functional is PBE.

Cell lengths 4.072, 4.072, 8.352 Å; angles 90.00, 90.00, 90.00 degrees
Fractional coordinates of all 8 atoms:
Lu  0.250  0.250  0.112
Lu  0.750  0.750  0.888
Sc  0.250  0.750  0.500
Sc  0.750  0.250  0.500
P  0.250  0.250  0.688
P  0.750  0.750  0.312
O  0.250  0.750  0.000
O  0.750  0.250  0.000

Values from the calculation:
space-group type	P4/nmm (129)
volume	17.314	Å³ per atom



b | This record from OQMD via LeMat-Bulk describes LuScPO after structural relaxation. The functional is PBE.

Cell lengths 4.018, 7.228, 5.144 Å; angles 90.00, 90.00, 90.00 degrees
Fractional coordinates of all 8 atoms:
Lu  0.000  0.138  0.000
Lu  0.000  0.862  0.500
Sc  0.500  0.281  0.472
Sc  0.500  0.719  0.972
P  0.500  0.359  0.970
P  0.500  0.641  0.470
O  0.000  0.165  0.450
O  0.000  0.835  0.950

Values from the calculation:
space-group type	Pmc2_1 (26)
volume	18.673	Å³ per atom



c | This record from OQMD via LeMat-Bulk describes LuScPO after structural relaxation. The functional is PBE.

Cell lengths 4.395, 4.395, 7.783 Å; angles 90.00, 90.00, 90.00 degrees
Fractional coordinates of all 8 atoms:
Lu  0.250  0.750  0.000
Lu  0.750  0.250  0.000
Sc  0.250  0.250  0.468
Sc  0.750  0.750  0.532
P  0.250  0.250  0.809
P  0.750  0.750  0.191
O  0.250  0.750  0.500
O  0.750  0.250  0.500

Values from the calculation:
space-group type	P4/nmm (129)
volume	18.791	Å³ per atom



Stability summary: most stable a, least stable c.